Computed, not measured: a geometry-optimized Li2Mg2Zn4Ag3 structure at the PBE-GGA level of DFT.

Results
Crystal system: tetragonal
Energy of formation (eV per atom): -0.0271

Cell and atoms, written as POSCAR:
```
Li2Mg2Zn4Ag3
1.0
-2.557 -2.486 0.575
2.526 -2.349 1.073
-1.528 7.340 13.581
Ag Mg Li Zn
3 2 2 4
direct
0.000 0.000 0.000
0.182 0.182 0.364
0.818 0.818 0.636
0.281 0.281 0.562
0.719 0.719 0.438
0.543 0.543 0.086
0.457 0.457 0.914
0.888 0.388 0.776
0.112 0.612 0.224
0.388 0.888 0.776
0.612 0.112 0.224
```